[1]
Computed, not measured: crystalline SmErTaN3 at its relaxed geometry at the PBE level of DFT.

The structure in extended XYZ format:
```
12
Lattice="5.803 0.000 0.000 0.000 3.364 0.000 -1.981 0.000 8.400" Properties=species:S:1:pos:R:3 pbc="T T T"
Sm 0.531 0.841 1.563
Sm 3.291 2.523 6.837
Er 0.486 2.523 4.568
Er 3.336 0.841 3.831
Ta 0.403 0.841 7.219
Ta 3.419 2.523 1.181
N -0.959 0.841 5.691
N -0.429 2.523 8.259
N 2.001 2.523 2.771
N 1.821 0.841 5.628
N 4.251 0.841 0.140
N 4.781 2.523 2.708
```

Computed properties:
The calculation puts the formation energy without anion corrections at -1.4404 eV/atom.


[2]
Computed, not measured: crystalline ZnB2Sb at its relaxed geometry at the PBE level of DFT.

The structure in extended XYZ format:
```
4
Lattice="0.000 3.041 3.041 3.041 0.000 3.041 3.041 3.041 0.000" Properties=species:S:1:pos:R:3 pbc="T T T"
Zn 0.000 0.000 0.000
B 1.521 1.521 1.521
B 4.562 4.562 4.562
Sb 3.041 3.041 3.041
```

Computed properties:
The calculation puts the formation energy without anion corrections at 1.4472 eV/atom. For the distance to the lowest polymorph of the same formula, the calculation gives 0.5050 eV/atom.


[3]
Computed, not measured: crystalline AcGePdAu at its relaxed geometry at the PBE level of DFT.

The structure in extended XYZ format:
```
8
Lattice="4.320 0.000 0.000 0.000 4.320 0.000 0.000 0.000 10.098" Properties=species:S:1:pos:R:3 pbc="T T T"
Ac 1.080 1.080 2.323
Ac 3.240 3.240 7.775
Ge 1.080 1.080 6.387
Ge 3.240 3.240 3.711
Pd 1.080 3.240 5.049
Pd 3.240 1.080 5.049
Au 1.080 1.080 9.198
Au 3.240 3.240 0.900
```

Computed properties:
The calculated formation energy comes out at -0.75 eV/atom. For the distance to the lowest polymorph of the same formula, the calculation gives 0.0000 eV/atom.


[4]
Computed, not measured: crystalline KCaIr2 at its relaxed geometry at the PBE level of DFT.

The structure in extended XYZ format:
```
4
Lattice="1.536 0.887 10.994 -1.536 0.887 10.994 0.000 -1.773 10.994" Properties=species:S:1:pos:R:3 pbc="T T T"
K 0.000 0.000 0.000
Ca 0.000 0.000 25.877
Ir 0.000 0.000 8.218
Ir 0.000 0.000 17.211
```

Computed properties:
The calculated formation energy comes out at 0.78 eV/atom. For the distance to the lowest polymorph of the same formula, the calculation gives 0.5759 eV/atom.


[5]
Computed, not measured: crystalline LaPRh at its relaxed geometry at the PBE level of DFT.

The structure in extended XYZ format:
```
9
Lattice="6.902 0.000 0.000 -3.451 5.978 0.000 0.000 0.000 4.241" Properties=species:S:1:pos:R:3 pbc="T T T"
La -2.007 3.477 0.000
La 1.444 2.501 0.000
La 4.014 0.000 0.000
P 0.000 0.000 0.000
P 0.000 3.985 2.120
P 3.451 1.993 2.120
Rh -0.806 1.397 2.120
Rh 1.613 0.000 2.120
Rh 2.645 4.581 2.120
```

Computed properties:
The calculated formation energy comes out at -1.08 eV/atom.


[6]
Computed, not measured: crystalline CeY2Rh at its relaxed geometry at the PBE level of DFT.

The structure in extended XYZ format:
```
16
Lattice="7.097 0.000 0.000 0.000 9.639 0.000 0.000 0.000 6.422" Properties=species:S:1:pos:R:3 pbc="T T T"
Ce 0.297 2.410 0.959
Ce 3.252 7.230 4.170
Ce 3.846 2.410 2.253
Ce 6.800 7.230 5.464
Y 1.252 0.623 4.294
Y 1.252 4.196 4.294
Y 2.297 5.443 1.082
Y 2.297 9.016 1.082
Y 4.801 0.623 5.340
Y 4.801 4.196 5.340
Y 5.845 5.443 2.129
Y 5.845 9.016 2.129
Rh 0.918 7.230 2.977
Rh 2.630 2.410 6.189
Rh 4.467 7.230 0.234
Rh 6.179 2.410 3.445
```

Computed properties:
The calculated formation energy comes out at -0.46 eV/atom. For the distance to the lowest polymorph of the same formula, the calculation gives 0.0000 eV/atom.


For each record above, in turn, the calculated volume values are 164, 56, 188, 90, 175, 439 Å³/cell.